# NaZn3Pt PBE optimized geometry
# calculated formation energy	-269	meV per atom
# energy above the most stable polymorph in this dataset	0	meV per atom
data_NaZn3Pt
_cell_length_a 8.897
_cell_length_b 4.240
_cell_length_c 10.428
_cell_angle_alpha 90.00
_cell_angle_beta 90.00
_cell_angle_gamma 90.00
_space_group_name_H-M_alt 'P n m a'
_space_group_IT_number 62
_space_group_name_Hall '-P 2ac 2n'
loop_
_atom_site_label
_atom_site_fract_x
_atom_site_fract_y
_atom_site_fract_z
Na1 0.183 0.250 0.020
Zn1 0.029 0.250 0.585
Zn2 0.095 0.750 0.765
Zn3 0.217 0.750 0.238
Pt1 0.144 0.250 0.357